# 1
# TcO

A relaxed TcO crystal (PBE, the Alexandria database).

Unit cell a=6.1538 b=6.1538 c=6.1538 alpha=92.86 beta=92.86 gamma=154.19
Positions (direct):
Tc: 0.1326 0.3420 0.4746
Tc: 0.3420 0.8674 0.2094
Tc: 0.6580 0.1326 0.7906
Tc: 0.8674 0.6580 0.5254
O: 0.2869 0.5158 0.8026
O: 0.4842 0.2869 0.7711
O: 0.5158 0.7131 0.2289
O: 0.7131 0.4842 0.1974

Space-group type: I4/m, No. 87

---

# 2
# TcO

A relaxed TcO crystal (PBE, the Alexandria database).

Unit cell a=3.1798 b=3.1798 c=3.1798 alpha=60.00 beta=60.00 gamma=60.00
Positions (direct):
Tc: 0.0000 0.0000 0.0000
O: 0.5000 0.5000 0.5000

Space-group type: Fm-3m, No. 225

---

# 3
# TcO

A relaxed TcO crystal (PBE, the Alexandria database).

Unit cell a=6.0032 b=6.0032 c=4.4871 alpha=90.00 beta=90.00 gamma=120.00
Positions (direct):
Tc: 0.0760 0.4440 0.2500
Tc: 0.3679 0.9240 0.2500
Tc: 0.4440 0.3679 0.7500
Tc: 0.5560 0.6321 0.2500
Tc: 0.6321 0.0760 0.7500
Tc: 0.9240 0.5560 0.7500
O: 0.0547 0.3078 0.7500
O: 0.2531 0.9453 0.7500
O: 0.3078 0.2531 0.2500
O: 0.6922 0.7469 0.7500
O: 0.7469 0.0547 0.2500
O: 0.9453 0.6922 0.2500

Space-group type: P6_3/m, No. 176

---

# 4
# Tc4O

A relaxed Tc4O crystal (PBE, the Alexandria database).

Unit cell a=4.0440 b=4.0440 c=4.0440 alpha=90.00 beta=90.00 gamma=90.00
Positions (direct):
Tc: 0.0000 0.0000 0.0000
Tc: 0.0000 0.5000 0.5000
Tc: 0.5000 0.0000 0.5000
Tc: 0.5000 0.5000 0.0000
O: 0.5000 0.5000 0.5000

Space-group type: Pm-3m, No. 221

---

# 5
# Tc2O5

A relaxed Tc2O5 crystal (PBE, the Alexandria database).

Unit cell a=6.7464 b=6.7464 c=5.4225 alpha=101.11 beta=101.11 gamma=41.85
Positions (direct):
Tc: 0.1032 0.6114 0.7133
Tc: 0.3886 0.8968 0.7867
Tc: 0.6114 0.1032 0.2133
Tc: 0.8968 0.3886 0.2867
O: 0.0596 0.1622 0.9880
O: 0.1622 0.0596 0.4880
O: 0.2250 0.3701 0.3633
O: 0.3701 0.2250 0.8633
O: 0.3761 0.6239 0.7500
O: 0.6239 0.3761 0.2500
O: 0.6299 0.7750 0.1367
O: 0.7750 0.6299 0.6367
O: 0.8378 0.9404 0.5120
O: 0.9404 0.8378 0.0120

Space-group type: C2/c, No. 15

---

# 6
# TcO

A relaxed TcO crystal (PBE, the Alexandria database).

Unit cell a=2.7520 b=2.7520 c=8.3856 alpha=100.38 beta=100.38 gamma=59.97
Positions (direct):
Tc: 0.2131 0.2131 0.1486
Tc: 0.7869 0.7869 0.8514
O: 0.3968 0.3968 0.6994
O: 0.6032 0.6032 0.3006

Space-group type: C2/m, No. 12

---

# 7
# TcO

A relaxed TcO crystal (PBE, the Alexandria database).

Unit cell a=3.2991 b=3.2991 c=3.2991 alpha=60.00 beta=60.00 gamma=60.00
Positions (direct):
Tc: 0.0000 0.0000 0.0000
O: 0.2500 0.2500 0.2500

Space-group type: F-43m, No. 216

---

# 8
# TcO

A relaxed TcO crystal (PBE, the Alexandria database).

Unit cell a=4.7787 b=5.1600 c=7.5777 alpha=90.00 beta=90.00 gamma=90.00
Positions (direct):
Tc: 0.1890 0.1294 0.4017
Tc: 0.2438 0.3810 0.9933
Tc: 0.2562 0.6190 0.4933
Tc: 0.3110 0.8706 0.9017
Tc: 0.6889 0.3706 0.5983
Tc: 0.7438 0.1190 0.0067
Tc: 0.7562 0.8810 0.5067
Tc: 0.8111 0.6294 0.0983
O: 0.1308 0.9318 0.6330
O: 0.1318 0.4742 0.2582
O: 0.3682 0.5258 0.7582
O: 0.3692 0.0682 0.1330
O: 0.6308 0.5682 0.3670
O: 0.6318 0.0258 0.7418
O: 0.8682 0.9742 0.2418
O: 0.8692 0.4318 0.8670

Space-group type: P2_12_12_1, No. 19

---

# 9
# TcO

A relaxed TcO crystal (PBE, the Alexandria database).

Unit cell a=2.8451 b=9.8024 c=5.0791 alpha=90.00 beta=90.00 gamma=90.00
Positions (direct):
Tc: 0.2500 0.0450 0.1892
Tc: 0.2500 0.4550 0.1892
Tc: 0.2500 0.7500 0.1136
Tc: 0.7500 0.2500 0.8864
Tc: 0.7500 0.5450 0.8108
Tc: 0.7500 0.9550 0.8108
O: 0.2500 0.2500 0.1820
O: 0.2500 0.6113 0.4094
O: 0.2500 0.8887 0.4094
O: 0.7500 0.1113 0.5906
O: 0.7500 0.3887 0.5906
O: 0.7500 0.7500 0.8180

Space-group type: Pmmn, No. 59

---

# 10
# TcO

A relaxed TcO crystal (PBE, the Alexandria database).

Unit cell a=6.1225 b=6.0338 c=5.0527 alpha=66.36 beta=64.53 gamma=49.11
Positions (direct):
Tc: 0.0021 0.0021 0.2479
Tc: 0.2479 0.2479 0.0021
Tc: 0.7521 0.7521 0.9979
Tc: 0.9979 0.9979 0.7521
O: 0.1061 0.6439 0.1061
O: 0.3561 0.8939 0.3561
O: 0.6439 0.1061 0.6439
O: 0.8939 0.3561 0.8939

Space-group type: Fddd, No. 70

---

# 11
# TcO

A relaxed TcO crystal (PBE, the Alexandria database).

Unit cell a=5.7537 b=5.7537 c=5.7537 alpha=90.00 beta=90.00 gamma=90.00
Positions (direct):
Tc: 0.0000 0.2500 0.5000
Tc: 0.0000 0.7500 0.5000
Tc: 0.2500 0.5000 0.0000
Tc: 0.5000 0.0000 0.2500
Tc: 0.5000 0.0000 0.7500
Tc: 0.7500 0.5000 0.0000
O: 0.0000 0.5000 0.2500
O: 0.0000 0.5000 0.7500
O: 0.2500 0.0000 0.5000
O: 0.5000 0.2500 0.0000
O: 0.5000 0.7500 0.0000
O: 0.7500 0.0000 0.5000

Space-group type: Pm-3n, No. 223

---

# 12
# TcO

A relaxed TcO crystal (PBE, the Alexandria database).

Unit cell a=6.2328 b=6.2328 c=6.2328 alpha=92.85 beta=92.85 gamma=154.22
Positions (direct):
Tc: 0.0900 0.6674 0.7573
Tc: 0.3326 0.0900 0.4226
Tc: 0.6674 0.9100 0.5774
Tc: 0.9100 0.3326 0.2427
O: 0.1224 0.2339 0.3563
O: 0.2339 0.8776 0.1114
O: 0.7661 0.1224 0.8886
O: 0.8776 0.7661 0.6437

Space-group type: I4/m, No. 87

---

# 13
# TcO4

A relaxed TcO4 crystal (PBE, the Alexandria database).

Unit cell a=5.3832 b=5.3832 c=7.5262 alpha=102.90 beta=102.90 gamma=57.34
Positions (direct):
Tc: 0.2452 0.7548 0.7500
Tc: 0.7548 0.2452 0.2500
O: 0.0394 0.1403 0.4415
O: 0.1403 0.0394 0.9415
O: 0.3061 0.4351 0.8094
O: 0.4351 0.3061 0.3094
O: 0.5649 0.6939 0.6906
O: 0.6939 0.5649 0.1906
O: 0.8597 0.9606 0.0585
O: 0.9606 0.8597 0.5585

Space-group type: C2/c, No. 15

---

# 14
# TcO

A relaxed TcO crystal (PBE, the Alexandria database).

Unit cell a=6.3572 b=6.3572 c=2.7092 alpha=90.00 beta=90.00 gamma=90.00
Positions (direct):
Tc: 0.1387 0.1387 0.0000
Tc: 0.3613 0.6387 0.5000
Tc: 0.6387 0.3613 0.5000
Tc: 0.8613 0.8613 0.0000
O: 0.1792 0.8208 0.0000
O: 0.3208 0.3208 0.5000
O: 0.6792 0.6792 0.5000
O: 0.8208 0.1792 0.0000

Space-group type: P4_2/mnm, No. 136

---

# 15
# TcO4

A relaxed TcO4 crystal (PBE, the Alexandria database).

Unit cell a=3.8101 b=3.8101 c=3.8101 alpha=90.00 beta=90.00 gamma=90.00
Positions (direct):
Tc: 0.0000 0.0000 0.0000
O: 0.0000 0.0000 0.5000
O: 0.0000 0.5000 0.0000
O: 0.5000 0.0000 0.0000
O: 0.5000 0.5000 0.5000

Space-group type: Pm-3m, No. 221

---

# 16
# TcO

A relaxed TcO crystal (PBE, the Alexandria database).

Unit cell a=2.7448 b=3.8101 c=7.1974 alpha=90.00 beta=90.00 gamma=90.00
Positions (direct):
Tc: 0.2500 0.2500 0.0914
Tc: 0.7500 0.7500 0.9086
O: 0.2500 0.2500 0.3261
O: 0.7500 0.7500 0.6739

Space-group type: Pmmn, No. 59

---

# 17
# TcO

A relaxed TcO crystal (PBE, the Alexandria database).

Unit cell a=7.9672 b=3.8098 c=4.8281 alpha=90.00 beta=90.00 gamma=90.00
Positions (direct):
Tc: 0.0000 0.1658 0.0000
Tc: 0.2065 0.6203 0.7402
Tc: 0.2935 0.3797 0.2402
Tc: 0.5000 0.8342 0.5000
Tc: 0.7065 0.3797 0.2402
Tc: 0.7935 0.6203 0.7402
O: 0.0000 0.3621 0.6252
O: 0.2050 0.8850 0.1282
O: 0.2950 0.1150 0.6282
O: 0.5000 0.6379 0.1252
O: 0.7050 0.1150 0.6282
O: 0.7950 0.8850 0.1282

Space-group type: Pmn2_1, No. 31

---

# 18
# TcO

A relaxed TcO crystal (PBE, the Alexandria database).

Unit cell a=5.6321 b=5.6321 c=5.6321 alpha=109.47 beta=109.47 gamma=109.47
Positions (direct):
Tc: 0.0000 0.0000 0.2731
Tc: 0.0000 0.2731 0.0000
Tc: 0.2731 0.0000 0.0000
Tc: 0.7269 0.7269 0.7269
O: 0.0000 0.0000 0.6300
O: 0.0000 0.6300 0.0000
O: 0.3700 0.3700 0.3700
O: 0.6300 0.0000 0.0000

Space-group type: I-43m, No. 217

---

# 19
# TcO

A relaxed TcO crystal (PBE, the Alexandria database).

Unit cell a=2.7586 b=2.7586 c=6.8767 alpha=90.00 beta=90.00 gamma=120.00
Positions (direct):
Tc: 0.3333 0.6667 0.0000
Tc: 0.6667 0.3333 0.5000
O: 0.3333 0.6667 0.6938
O: 0.6667 0.3333 0.1938

Space-group type: P6_3mc, No. 186

---

# 20
# TcO4

A relaxed TcO4 crystal (PBE, the Alexandria database).

Unit cell a=5.7640 b=5.7640 c=6.0353 alpha=90.00 beta=90.00 gamma=115.20
Positions (direct):
Tc: 0.2500 0.7500 0.7500
Tc: 0.7500 0.2500 0.2500
O: 0.0172 0.3072 0.0840
O: 0.1928 0.4828 0.5840
O: 0.3072 0.0172 0.5840
O: 0.4828 0.1928 0.0840
O: 0.5172 0.8072 0.9160
O: 0.6928 0.9828 0.4160
O: 0.8072 0.5172 0.4160
O: 0.9828 0.6928 0.9160

Space-group type: Ccce, No. 68

---

no.,calculated total energy (eV/atom)
1,-8.47
2,-7.48
3,-8.27
4,-9.23
5,-7.85
6,-8.57
7,-7.91
8,-8.29
9,-8.37
10,-7.80
11,-7.48
12,-8.46
13,-6.91
14,-7.92
15,-6.40
16,-8.04
17,-8.23
18,-7.72
19,-8.37
20,-6.90